Entry 1:
CuTeW2 | PBE | optimized geometry

a = 4.580 Å, b = 4.580 Å, c = 3.114 Å
α = 90.00°, β = 90.00°, γ = 90.00°
Space group P4/mmm (No. 123)
Inequivalent atoms, fractional coordinates:
Cu1 0.000 0.000 0.000 (multiplicity 1)
Te1 0.500 0.500 0.000 (multiplicity 1)
W1 0.000 0.500 0.500 (multiplicity 2)

## Properties
Its formation energy (no corrections) is 0.826 eV per atom.


Entry 2:
CuTeW2 | PBE | optimized geometry

a = 5.498 Å, b = 8.946 Å, c = 2.946 Å
α = 90.00°, β = 110.42°, γ = 90.00°
Space group C2/m (No. 12)
Inequivalent atoms, fractional coordinates:
Cu1 0.000 0.000 0.000 (multiplicity 2)
Te1 0.000 0.500 0.000 (multiplicity 2)
W1 0.250 0.250 0.500 (multiplicity 4)

## Properties
Its formation energy (no corrections) is 0.852 eV per atom.


Entry 3:
CuTeW2 | PBE | optimized geometry

a = 2.977 Å, b = 4.532 Å, c = 5.138 Å
α = 90.00°, β = 96.62°, γ = 90.00°
Space group P2/m (No. 10)
Inequivalent atoms, fractional coordinates:
Cu1 0.000 0.000 0.000 (multiplicity 1)
Te1 0.500 0.000 0.500 (multiplicity 1)
W1 0.287 0.500 0.773 (multiplicity 2)

## Properties
Its formation energy (no corrections) is 0.810 eV per atom.


Entry 4:
CuTeW2 | PBE | optimized geometry

a = 6.474 Å, b = 6.474 Å, c = 6.474 Å
α = 90.00°, β = 90.00°, γ = 90.00°
Space group F-43m (No. 216)
Inequivalent atoms, fractional coordinates:
Cu1 0.000 0.000 0.000 (multiplicity 4)
Te1 0.250 0.250 0.250 (multiplicity 4)
W1 0.000 0.000 0.500 (multiplicity 4)
W2 0.250 0.250 0.750 (multiplicity 4)

## Properties
Its formation energy (no corrections) is 0.783 eV per atom.


Entry 5:
YCuTe2 | PBE | optimized geometry

a = 3.945 Å, b = 3.826 Å, c = 7.180 Å
α = 90.00°, β = 105.27°, γ = 90.00°
Space group P2/m (No. 10)
Inequivalent atoms, fractional coordinates:
Y1 0.000 0.000 0.000 (multiplicity 1)
Cu1 0.000 0.000 0.500 (multiplicity 1)
Te1 0.332 0.500 0.745 (multiplicity 2)

## Properties
Its formation energy (no corrections) is -0.617 eV per atom.


Entry 6:
YCuTe2 | PBE | optimized geometry

a = 4.225 Å, b = 5.693 Å, c = 8.341 Å
α = 90.00°, β = 90.00°, γ = 90.00°
Space group Immm (No. 71)
Inequivalent atoms, fractional coordinates:
Y1 0.000 0.000 0.000 (multiplicity 2)
Cu1 0.000 0.000 0.500 (multiplicity 2)
Te1 0.000 0.500 0.203 (multiplicity 4)

## Properties
Its formation energy (no corrections) is -0.559 eV per atom.


Entry 7:
YCuTe2 | PBE | optimized geometry

a = 4.367 Å, b = 4.045 Å, c = 12.358 Å
α = 90.00°, β = 90.00°, γ = 90.00°
Space group Amm2 (No. 38)
Inequivalent atoms, fractional coordinates:
Y1 0.000 0.000 0.000 (multiplicity 2)
Cu1 0.500 0.000 0.608 (multiplicity 2)
Te1 0.000 0.000 0.706 (multiplicity 2)
Te2 0.500 0.000 0.404 (multiplicity 2)

## Properties
Its formation energy (no corrections) is -0.812 eV per atom.


Entry 8:
YCuTe2 | PBE | optimized geometry

a = 4.3200 Å, b = 4.3200 Å, c = 22.8713 Å
α = 90.00°, β = 90.00°, γ = 120.00°
Space group R3m (No. 160, hexagonal axes)
Inequivalent atoms, fractional coordinates:
Y1 0.0000 0.0000 0.0000 (multiplicity 3)
Cu1 0.0000 0.0000 0.7528 (multiplicity 3)
Te1 0.0000 0.0000 0.2594 (multiplicity 3)
Te2 0.0000 0.0000 0.4368 (multiplicity 3)

## Properties
Its formation energy (no corrections) is -0.772 eV per atom.